1.
Compound: ScHgB2Ir
Source: the Alexandria database
Functional: meta-GGA SCAN
Structure: single point on PBEsol structure

The structure belongs to space group P4/mmm (No. 123); the cell edges are 4.076, 4.076 and 5.224 Å and the angles 90.00°, 90.00° and 90.00°. Symmetry generates all atoms from Sc at (0.000, 0.000, 0.000), Hg at (0.500, 0.500, 0.500), B at (0.000, 0.500, 0.500) and Ir at (0.500, 0.500, 0.000).

The value obtained for the theoretical density is 8.79 g/cm3. The calculation puts the total magnetic moment at 0.000 μB per atom. For the total energy, the calculation gives -1.184 hartree per atom. The energy relative to the elements comes out at 1.452 eV per atom.

2.
Compound: Ba2PbF2
Source: the Alexandria database
Functional: meta-GGA SCAN
Structure: single point on PBEsol structure

The structure belongs to space group I4/mmm (No. 139); the cell edges are 5.164, 5.164 and 11.536 Å and the angles 90.00°, 90.00° and 90.00°. Symmetry generates all atoms from Ba at (0.000, 0.500, 0.250), Pb at (0.000, 0.000, 0.000) and F at (0.000, 0.000, 0.306).

The value obtained for the theoretical density is 5.61 g/cm3. The calculation puts the total magnetic moment at 0.001 μB per atom. For the total energy, the calculation gives -1.273 hartree per atom. The raw formation energy comes out at -2.2483 eV per atom.

3.
Compound: Ba2Na2Ag
Source: the Alexandria database
Functional: meta-GGA SCAN
Structure: single point on PBEsol structure

The structure belongs to space group I4/mmm (No. 139); the cell edges are 4.268, 4.268 and 21.251 Å and the angles 90.00°, 90.00° and 90.00°. Symmetry generates all atoms from Ba at (0.000, 0.000, 0.087), Na at (0.000, 0.500, 0.250) and Ag at (0.000, 0.000, 0.500).

The value obtained for the theoretical density is 3.68 g/cm3. The calculation puts the total magnetic moment at 0.005 μB per atom. For the total energy, the calculation gives -0.875 hartree per atom. The energy relative to the elements comes out at -0.026 eV per atom.

4.
Compound: SiNiPb2
Source: the Alexandria database
Functional: meta-GGA SCAN
Structure: single point on PBEsol structure

The structure belongs to space group F-43m (No. 216); the cell edges are 6.951, 6.951 and 6.951 Å and the angles 90.00°, 90.00° and 90.00°. Symmetry generates all atoms from Si at (0.000, 0.000, 0.000), Ni at (0.250, 0.250, 0.750), Pb at (0.000, 0.000, 0.500) and Pb at (0.250, 0.250, 0.250).

The value obtained for the theoretical density is 9.91 g/cm3. The calculation puts the total magnetic moment at 0.000 μB per atom. The relative energy among the computed polymorphs is 789 meV/atom. For the total energy, the calculation gives -1.605 hartree per atom. The raw formation energy comes out at 0.7600 eV per atom.

5.
Compound: Cr2RuCl
Source: the Alexandria database
Functional: meta-GGA SCAN
Structure: single point on PBEsol structure

The structure belongs to space group F-43m (No. 216); the cell edges are 5.906, 5.906 and 5.906 Å and the angles 90.00°, 90.00° and 90.00°. Symmetry generates all atoms from Cr at (0.000, 0.000, 0.000), Cr at (0.250, 0.250, 0.250), Ru at (0.250, 0.250, 0.750) and Cl at (0.000, 0.000, 0.500).

The value obtained for the theoretical density is 7.76 g/cm3. The calculation puts the total magnetic moment at 0.086 μB per atom. The relative energy among the computed polymorphs is 425 meV/atom. For the total energy, the calculation gives -0.703 hartree per atom. The raw formation energy comes out at 0.7580 eV per atom.

6.
Compound: SrAu
Source: the Alexandria database
Functional: meta-GGA SCAN
Structure: single point on PBEsol structure

The structure belongs to space group Fm-3m (No. 225); the cell edges are 6.260, 6.260 and 6.260 Å and the angles 90.00°, 90.00° and 90.00°. Symmetry generates all atoms from Sr at (0.000, 0.000, 0.000) and Au at (0.000, 0.000, 0.500).

The value obtained for the theoretical density is 7.71 g/cm3. The calculation puts the total magnetic moment at 0.009 μB per atom. For the total energy, the calculation gives -1.711 hartree per atom. The energy relative to the elements comes out at -0.841 eV per atom.

7.
Compound: MnRePb3
Source: the Alexandria database
Functional: meta-GGA SCAN
Structure: single point on PBEsol structure

The structure belongs to space group Pm-3m (No. 221); the cell edges are 5.266, 5.266 and 5.266 Å and the angles 90.00°, 90.00° and 90.00°. Symmetry generates all atoms from Mn at (0.000, 0.000, 0.000), Re at (0.500, 0.500, 0.500) and Pb at (0.000, 0.500, 0.500).

The value obtained for the theoretical density is 9.81 g/cm3. The calculation puts the total magnetic moment at 0.866 μB per atom. The relative energy among the computed polymorphs is 0 meV/atom. For the total energy, the calculation gives -2.299 hartree per atom. The energy relative to the elements comes out at 0.781 eV per atom.

8.
Compound: Ba2CoHgSe
Source: the Alexandria database
Functional: meta-GGA SCAN
Structure: single point on PBEsol structure

The structure belongs to space group P4/mmm (No. 123); the cell edges are 6.206, 6.206 and 4.690 Å and the angles 90.00°, 90.00° and 90.00°. Symmetry generates all atoms from Ba at (0.000, 0.500, 0.000), Co at (0.000, 0.000, 0.500), Hg at (0.000, 0.000, 0.000) and Se at (0.500, 0.500, 0.500).

The value obtained for the theoretical density is 5.64 g/cm3. The calculation puts the total magnetic moment at 0.321 μB per atom. For the total energy, the calculation gives -1.371 hartree per atom. The raw formation energy comes out at -0.3635 eV per atom.

9.
Compound: SrIn2Cl
Source: the Alexandria database
Functional: meta-GGA SCAN
Structure: single point on PBEsol structure

The structure belongs to space group C2/m (No. 12); the cell edges are 13.449, 3.884 and 4.421 Å and the angles 90.00°, 96.37° and 90.00°. Symmetry generates all atoms from Sr at (0.000, 0.000, 0.000), In at (0.234, 0.500, 0.239) and Cl at (0.000, 0.500, 0.500).

The value obtained for the theoretical density is 5.10 g/cm3. The calculation puts the total magnetic moment at 0.000 μB per atom. The relative energy among the computed polymorphs is 0 meV/atom. For the total energy, the calculation gives -0.927 hartree per atom. The raw formation energy comes out at -0.9626 eV per atom.

10.
Compound: TaH2Se
Source: the Alexandria database
Functional: meta-GGA SCAN
Structure: single point on PBEsol structure

The structure belongs to space group Fm-3m (No. 225); the cell edges are 5.482, 5.482 and 5.482 Å and the angles 90.00°, 90.00° and 90.00°. Symmetry generates all atoms from Ta at (0.000, 0.000, 0.000), H at (0.250, 0.250, 0.250) and Se at (0.000, 0.000, 0.500).

The value obtained for the theoretical density is 10.56 g/cm3. The calculation puts the total magnetic moment at 0.117 μB per atom. For the total energy, the calculation gives -0.826 hartree per atom.

11.
Compound: Na3CrAg
Source: the Alexandria database
Functional: meta-GGA SCAN
Structure: single point on PBEsol structure

The structure belongs to space group Pm-3m (No. 221); the cell edges are 5.460, 5.460 and 5.460 Å and the angles 90.00°, 90.00° and 90.00°. Symmetry generates all atoms from Na at (0.000, 0.000, 0.500), Cr at (0.500, 0.500, 0.500) and Ag at (0.000, 0.000, 0.000).

The value obtained for the theoretical density is 2.33 g/cm3. The calculation puts the total magnetic moment at 1.055 μB per atom. For the total energy, the calculation gives -0.439 hartree per atom. The energy relative to the elements comes out at 0.544 eV per atom.

12.
Compound: Hg3AsBr
Source: the Alexandria database
Functional: meta-GGA SCAN
Structure: single point on PBEsol structure

The structure belongs to space group Pm-3m (No. 221); the cell edges are 5.248, 5.248 and 5.248 Å and the angles 90.00°, 90.00° and 90.00°. Symmetry generates all atoms from Hg at (0.000, 0.000, 0.500), As at (0.000, 0.000, 0.000) and Br at (0.500, 0.500, 0.500).

The value obtained for the theoretical density is 8.69 g/cm3. The calculation puts the total magnetic moment at 0.000 μB per atom. For the total energy, the calculation gives -1.799 hartree per atom. The raw formation energy comes out at -0.1156 eV per atom.

13.
Compound: Al2AuBr
Source: the Alexandria database
Functional: meta-GGA SCAN
Structure: single point on PBEsol structure

The structure belongs to space group C2/m (No. 12); the cell edges are 7.667, 7.192 and 3.095 Å and the angles 90.00°, 112.05° and 90.00°. Symmetry generates all atoms from Al at (0.250, 0.250, 0.000), Au at (0.000, 0.000, 0.500) and Br at (0.000, 0.500, 0.500).

The value obtained for the theoretical density is 6.95 g/cm3. The calculation puts the total magnetic moment at 0.000 μB per atom. The relative energy among the computed polymorphs is 149 meV/atom. For the total energy, the calculation gives -0.959 hartree per atom. The raw formation energy comes out at -0.0686 eV per atom.